Re3Rh | PBE | optimized geometry

Computed properties:
* DFT formation energy: -68 meV per atom
* Fermi-level density of states: 17.393 states/eV/cell

```
24
Lattice="5.551 0.000 0.000 0.000 4.761 0.000 0.000 0.000 13.374" Properties=species:S:1:pos:R:3 pbc="T T T"
Re 0.012 0.796 7.834
Re 0.012 0.796 12.227
Re 0.018 2.352 3.343
Re 5.534 2.409 10.030
Re 5.539 3.965 1.147
Re 5.539 3.965 5.540
Re 1.388 0.065 10.030
Re 1.388 1.582 1.134
Re 1.388 1.582 5.553
Re 2.764 0.796 7.834
Re 2.764 0.796 12.227
Re 2.758 2.352 3.343
Re 2.793 2.409 10.030
Re 2.788 3.965 1.147
Re 2.788 3.965 5.540
Re 4.163 4.697 3.343
Re 4.163 3.179 7.821
Re 4.163 3.179 12.240
Rh 1.388 4.726 3.343
Rh 1.388 3.171 7.803
Rh 1.388 3.171 12.257
Rh 4.163 0.035 10.030
Rh 4.163 1.590 1.116
Rh 4.163 1.590 5.570
```


Re5Rh3 | PBE | optimized geometry

Computed properties:
* DFT formation energy: -46 meV per atom
* ΔE to the lowest computed polymorph: 9.2 kJ per mole of atoms
* Fermi-level density of states: 7.185 states/eV/cell

```
8
Lattice="6.021 5.400 -0.518 1.965 7.384 2.702 -2.769 -7.535 1.118" Properties=species:S:1:pos:R:3 pbc="T T T"
Re 6.001 9.607 1.642
Re 2.650 0.571 0.580
Re 3.993 6.392 1.092
Re 2.568 4.678 2.722
Re 1.985 3.177 0.543
Rh 0.569 1.479 2.176
Rh 0.000 0.000 0.000
Rh 4.648 3.770 1.127
```


Re4Rh | PBE | optimized geometry

Computed properties:
* DFT formation energy: 705 meV per atom
* ΔE to the lowest computed polymorph: 66.9 kJ per mole of atoms
* Fermi-level density of states: 6.660 states/eV/cell

```
5
Lattice="-2.333 -4.880 3.131 -5.098 -0.014 3.615 2.139 1.773 -5.598" Properties=species:S:1:pos:R:3 pbc="T T T"
Re -1.955 -2.777 0.453
Re -2.890 -1.903 2.624
Re -4.541 -2.990 4.123
Re -3.337 -0.344 0.695
Rh 0.000 0.000 0.000
```


ReRh5 | PBE | optimized geometry

Computed properties:
* DFT formation energy: -74 meV per atom
* ΔE to the lowest computed polymorph: 0.2 kJ per mole of atoms
* Fermi-level density of states: 5.665 states/eV/cell

```
6
Lattice="6.064 -0.002 0.000 -4.838 3.655 0.000 0.000 0.000 3.863" Properties=species:S:1:pos:R:3 pbc="T T T"
Re 0.000 0.000 0.000
Rh -3.043 3.053 1.932
Rh -1.130 2.411 0.000
Rh 0.613 1.827 1.932
Rh 2.356 1.242 0.000
Rh 4.269 0.600 1.932
```


Re3Rh | PBE | optimized geometry

Computed properties:
* DFT formation energy: -95 meV per atom
* Fermi-level density of states: 13.609 states/eV/cell

```
16
Lattice="5.529 0.000 0.000 -2.765 4.789 0.000 0.000 0.000 8.889" Properties=species:S:1:pos:R:3 pbc="T T T"
Re -1.382 2.394 0.000
Re -1.382 2.394 4.444
Re 0.000 1.630 6.667
Re -1.353 3.974 6.667
Re 1.412 0.815 2.222
Re 2.765 0.000 0.000
Re 2.765 0.000 4.444
Re 1.382 2.394 0.000
Re 1.382 2.394 4.444
Re 1.353 3.974 6.667
Re 4.118 0.815 2.222
Re 2.765 3.159 2.222
Rh 0.000 0.000 0.000
Rh 0.000 0.000 4.444
Rh 0.000 3.192 2.222
Rh 2.765 1.596 6.667
```


ReRh2 | PBE | optimized geometry

Computed properties:
* DFT formation energy: -27 meV per atom
* ΔE to the lowest computed polymorph: 14.0 kJ per mole of atoms
* Fermi-level density of states: 6.495 states/eV/cell

```
6
Lattice="-0.261 0.498 -2.666 -0.477 -2.645 -0.447 -11.463 1.822 1.460" Properties=species:S:1:pos:R:3 pbc="T T T"
Re -6.874 1.320 -0.474
Re -4.958 -0.573 0.378
Rh -3.031 0.710 -0.964
Rh -1.146 -1.179 -0.108
Rh -10.686 1.926 0.012
Rh -8.801 0.038 0.867
```


ReRh2 | PBE | optimized geometry

Computed properties:
* DFT formation energy: 203 meV per atom
* ΔE to the lowest computed polymorph: 36.1 kJ per mole of atoms
* Fermi-level density of states: 7.868 states/eV/cell

```
6
Lattice="-2.690 -1.831 0.230 1.777 -2.680 -0.552 1.268 -0.839 8.155" Properties=species:S:1:pos:R:3 pbc="T T T"
Re -0.182 -1.685 7.591
Re 0.994 -1.410 0.403
Rh -1.033 -1.122 2.124
Rh 1.417 -1.690 3.121
Rh -0.605 -1.405 4.873
Rh 1.844 -1.973 5.870
```


ReRh2 | PBE | optimized geometry

Computed properties:
* DFT formation energy: 256 meV per atom
* ΔE to the lowest computed polymorph: 41.3 kJ per mole of atoms
* Fermi-level density of states: 8.079 states/eV/cell

```
6
Lattice="-3.053 3.053 2.497 3.053 -3.053 2.497 3.053 3.053 -2.497" Properties=species:S:1:pos:R:3 pbc="T T T"
Re 0.000 0.000 1.248
Re 0.000 0.000 3.745
Rh 0.906 2.148 0.000
Rh -0.906 2.148 2.497
Rh 3.959 0.906 0.000
Rh 2.148 0.906 2.497
```